This record from the Alexandria database describes a geometry-optimized AlTl2CrO6 structure. The functional is PBE+U.

The calculation puts the mass density at 7.52 g cm⁻³. For the total energy, the calculation gives -5.852 eV per atom.

It has space group P4mm (No. 99), with a = 5.167 Å, b = 5.167 Å, c = 4.827 Å, α = 90.00°, β = 90.00° and γ = 90.00°. Symmetry generates all atoms from Al at (0.000, 0.000, 0.000), Tl at (0.000, 0.500, 0.446), Cr at (0.500, 0.500, 0.003), O at (0.000, 0.000, 0.624), O at (0.251, 0.251, 0.111) and O at (0.500, 0.500, 0.652).

This record from the Alexandria database describes a geometry-optimized TmAlCr2O6 structure. The functional is PBE+U.

The calculation puts the mass density at 6.13 g cm⁻³. For the total energy, the calculation gives -7.889 eV per atom.

It has space group R3 (No. 146, hexagonal axes), with a = 5.1752 Å, b = 5.1752 Å, c = 13.8708 Å, α = 90.00°, β = 90.00° and γ = 120.00°. Symmetry generates all atoms from Tm at (0.0000, 0.0000, 0.0000), Al at (0.0000, 0.0000, 0.4842), Cr at (0.0000, 0.0000, 0.2829), Cr at (0.0000, 0.0000, 0.7893), O at (0.0182, 0.3445, 0.5461) and O at (0.0346, 0.6321, 0.0545).